PBE with a Hubbard U Fe5O8F2, optimized geometry; SG = P1; V = 157.7 Å³/f.u.; relative energy among the computed polymorphs = 126.0 meV/atom
1.0
-1.843 4.021 1.233
-6.788 -3.201 0.784
-1.126 -3.005 9.118
F O Fe
4 16 10
direct
0.806 0.359 0.225
0.816 0.966 0.426
0.812 0.562 0.625
0.300 0.940 0.876
0.805 0.160 0.823
0.704 0.448 0.925
0.303 0.535 0.080
0.187 0.442 0.372
0.309 0.742 0.478
0.705 0.269 0.521
0.199 0.626 0.786
0.310 0.343 0.677
0.807 0.762 0.022
0.180 0.229 0.974
0.176 0.839 0.172
0.697 0.868 0.721
0.213 0.052 0.577
0.302 0.137 0.277
0.693 0.663 0.318
0.678 0.059 0.123
0.973 0.999 0.003
0.018 0.207 0.406
0.516 0.110 0.696
0.484 0.500 0.493
0.033 0.807 0.616
0.519 0.690 0.900
0.476 0.894 0.294
0.008 0.389 0.805
0.000 0.608 0.195
0.471 0.295 0.092